<w>
This record from the Alexandria database describes an optimized crystal structure of Pa2Ni3Ge5. The functional is PBE-GGA.

a b c (Å): 4.0981 23.1145 7.3161
angles (deg): 90.00 90.00 90.00
Space group Cmc2_1 (No. 36)
Symmetry-distinct sites (fractional):
Pa (0.0000, 0.0296, 0.0000) (multiplicity 4)
Pa (0.0000, 0.3272, 0.9727) (multiplicity 4)
Ni (0.0000, 0.1053, 0.3035) (multiplicity 4)
Ni (0.0000, 0.2773, 0.3969) (multiplicity 4)
Ni (0.0000, 0.4585, 0.1501) (multiplicity 4)
Ge (0.0000, 0.0966, 0.6450) (multiplicity 4)
Ge (0.0000, 0.1905, 0.1206) (multiplicity 4)
Ge (0.0000, 0.2284, 0.7083) (multiplicity 4)
Ge (0.0000, 0.3789, 0.3907) (multiplicity 4)
Ge (0.0000, 0.4510, 0.8112) (multiplicity 4)

Output
Fermi-level density of states: 6.9 states/eV/f.u.



<x>
This record from the Alexandria database describes an optimized crystal structure of Pa2Ni3Ge5. The functional is PBE-GGA.

a b c (Å): 9.5579 11.7168 5.9920
angles (deg): 90.00 90.00 90.00
Space group Ibam (No. 72)
Symmetry-distinct sites (fractional):
Pa (0.2294, 0.1340, 0.0000) (multiplicity 8)
Ni (0.0000, 0.5000, 0.2500) (multiplicity 4)
Ni (0.1030, 0.1431, 0.5000) (multiplicity 8)
Ge (0.0000, 0.0000, 0.2500) (multiplicity 4)
Ge (0.0000, 0.2765, 0.2500) (multiplicity 8)
Ge (0.1620, 0.4036, 0.0000) (multiplicity 8)

Output
Fermi-level density of states: 9.5 states/eV/f.u.



Which of them is the least stable? Correct choice: <w>.



<w>
This record from the Alexandria database describes an optimized crystal structure of NiGe3Pb. The functional is PBE-GGA.

a b c (Å): 5.3795 5.3795 5.3795
angles (deg): 90.00 90.00 90.00
Space group Pm-3m (No. 221)
Symmetry-distinct sites (fractional):
Ni (0.0000, 0.0000, 0.0000) (multiplicity 1)
Ge (0.0000, 0.5000, 0.5000) (multiplicity 3)
Pb (0.5000, 0.5000, 0.5000) (multiplicity 1)

Output
Fermi-level density of states: 6.4 states/eV/f.u.



<x>
This record from the Alexandria database describes an optimized crystal structure of NiGe3Pb. The functional is PBE-GGA.

a b c (Å): 4.7299 4.7299 4.7299
angles (deg): 90.00 90.00 90.00
Space group Pm-3m (No. 221)
Symmetry-distinct sites (fractional):
Ni (0.0000, 0.0000, 0.0000) (multiplicity 1)
Ge (0.0000, 0.0000, 0.5000) (multiplicity 3)
Pb (0.5000, 0.5000, 0.5000) (multiplicity 1)

Output
Fermi-level density of states: 1.5 states/eV/f.u.



Which of them is the least stable? Correct choice: <w>.



<w>
This record from the Alexandria database describes an optimized crystal structure of Ni2Ge2Pd. The functional is PBE-GGA.

a b c (Å): 3.6732 3.6732 10.8010
angles (deg): 90.00 90.00 90.00
Space group I4/mmm (No. 139)
Symmetry-distinct sites (fractional):
Ni (0.0000, 0.5000, 0.2500) (multiplicity 4)
Ge (0.0000, 0.0000, 0.1124) (multiplicity 4)
Pd (0.0000, 0.0000, 0.5000) (multiplicity 2)

Output
Fermi-level density of states: 3.3 states/eV/f.u.



<x>
This record from the Alexandria database describes an optimized crystal structure of Ni2Ge2Pd. The functional is PBE-GGA.

a b c (Å): 2.9014 4.2020 6.4364
angles (deg): 71.01 89.91 71.42
Space group P1 (No. 1)
Symmetry-distinct sites (fractional):
Ni (0.0000, 0.0000, 0.0000) (multiplicity 1)
Ni (0.2279, 0.5523, 0.7637) (multiplicity 1)
Ge (0.7271, 0.5046, 0.0997) (multiplicity 1)
Ge (0.8939, 0.2028, 0.6092) (multiplicity 1)
Pd (0.5557, 0.9034, 0.3794) (multiplicity 1)

Output
Fermi-level density of states: 2.0 states/eV/f.u.



Which of them is the least stable? Correct choice: <w>.



<w>
This record from the Alexandria database describes an optimized crystal structure of Ni3GePd. The functional is PBE-GGA.

a b c (Å): 4.2925 4.2925 4.2925
angles (deg): 90.00 90.00 90.00
Space group Pm-3m (No. 221)
Symmetry-distinct sites (fractional):
Ni (0.0000, 0.0000, 0.5000) (multiplicity 3)
Ge (0.0000, 0.0000, 0.0000) (multiplicity 1)
Pd (0.5000, 0.5000, 0.5000) (multiplicity 1)

Output
Fermi-level density of states: 4.7 states/eV/f.u.



<x>
This record from the Alexandria database describes an optimized crystal structure of Ni3GePd. The functional is PBE-GGA.

a b c (Å): 4.5528 4.5528 4.5528
angles (deg): 90.00 90.00 90.00
Space group Pm-3m (No. 221)
Symmetry-distinct sites (fractional):
Ni (0.0000, 0.0000, 0.5000) (multiplicity 3)
Ge (0.5000, 0.5000, 0.5000) (multiplicity 1)
Pd (0.0000, 0.0000, 0.0000) (multiplicity 1)

Output
Fermi-level density of states: 10.2 states/eV/f.u.



Which of them is the least stable? Correct choice: <x>.



<w>
This record from the Alexandria database describes an optimized crystal structure of YNi2GePd. The functional is PBE-GGA.

a b c (Å): 4.7343 4.7343 5.0661
angles (deg): 90.00 90.00 90.00
Space group P4/mmm (No. 123)
Symmetry-distinct sites (fractional):
Y (0.0000, 0.0000, 0.0000) (multiplicity 1)
Ni (0.0000, 0.5000, 0.0000) (multiplicity 2)
Ge (0.5000, 0.5000, 0.5000) (multiplicity 1)
Pd (0.0000, 0.0000, 0.5000) (multiplicity 1)

Output
Fermi-level density of states: 3.0 states/eV/f.u.



<x>
This record from the Alexandria database describes an optimized crystal structure of YNi2GePd. The functional is PBE-GGA.

a b c (Å): 4.6227 4.6227 5.3061
angles (deg): 90.00 90.00 90.00
Space group P4/mmm (No. 123)
Symmetry-distinct sites (fractional):
Y (0.0000, 0.0000, 0.0000) (multiplicity 1)
Ni (0.0000, 0.5000, 0.0000) (multiplicity 2)
Ge (0.0000, 0.0000, 0.5000) (multiplicity 1)
Pd (0.5000, 0.5000, 0.5000) (multiplicity 1)

Output
Fermi-level density of states: 3.5 states/eV/f.u.



Which of them is the least stable? Correct choice: <x>.



<w>
This record from the Alexandria database describes an optimized crystal structure of PmNi3Ge3. The functional is PBE-GGA.

a b c (Å): 6.3006 6.3006 21.2825
angles (deg): 90.00 90.00 120.00
Space group R-3 (No. 148, hexagonal axes)
Symmetry-distinct sites (fractional):
Pm (0.0000, 0.0000, 0.1726) (multiplicity 6)
Ni (0.0282, 0.2688, 0.7030) (multiplicity 18)
Ge (0.0446, 0.2850, 0.5902) (multiplicity 18)

Output
Fermi-level density of states: 4.1 states/eV/f.u.



<x>
This record from the Alexandria database describes an optimized crystal structure of PmNi3Ge3. The functional is PBE-GGA.

a b c (Å): 6.4192 6.4192 6.4192
angles (deg): 90.00 90.00 90.00
Space group Pm-3n (No. 223)
Symmetry-distinct sites (fractional):
Pm (0.0000, 0.0000, 0.0000) (multiplicity 2)
Ni (0.0000, 0.2500, 0.5000) (multiplicity 6)
Ge (0.0000, 0.5000, 0.2500) (multiplicity 6)

Output
Fermi-level density of states: 5.5 states/eV/f.u.



Which of them is the least stable? Correct choice: <x>.



<w>
This record from the Alexandria database describes an optimized crystal structure of Pm3Ni3Ge. The functional is PBE-GGA.

a b c (Å): 10.5403 4.1121 14.2617
angles (deg): 90.00 110.44 90.00
Space group C2/m (No. 12)
Symmetry-distinct sites (fractional):
Pm (0.0302, 0.0000, 0.3866) (multiplicity 4)
Pm (0.1041, 0.0000, 0.9234) (multiplicity 4)
Pm (0.2474, 0.0000, 0.2294) (multiplicity 4)
Ni (0.0476, 0.5000, 0.2310) (multiplicity 4)
Ni (0.1037, 0.5000, 0.0759) (multiplicity 4)
Ni (0.1378, 0.5000, 0.5402) (multiplicity 4)
Ge (0.2436, 0.5000, 0.3964) (multiplicity 4)

Output
Fermi-level density of states: 5.7 states/eV/f.u.



<x>
This record from the Alexandria database describes an optimized crystal structure of Pm3Ni3Ge. The functional is PBE-GGA.

a b c (Å): 8.3612 8.3612 5.5625
angles (deg): 90.00 90.00 120.00
Space group P6_3/m (No. 176)
Symmetry-distinct sites (fractional):
Pm (0.0542, 0.6943, 0.2500) (multiplicity 6)
Ni (0.0626, 0.6859, 0.7500) (multiplicity 6)
Ge (0.3333, 0.6667, 0.7500) (multiplicity 2)

Output
Fermi-level density of states: 6.0 states/eV/f.u.



Which of them is the least stable? Correct choice: <x>.



<w>
This record from the Alexandria database describes an optimized crystal structure of PmNi2Ge4. The functional is PBE-GGA.

a b c (Å): 7.8427 7.8427 3.9410
angles (deg): 90.00 90.00 90.00
Space group P4_2/mnm (No. 136)
Symmetry-distinct sites (fractional):
Pm (0.0000, 0.0000, 0.0000) (multiplicity 2)
Ni (0.2175, 0.2175, 0.5000) (multiplicity 4)
Ge (0.0782, 0.6887, 0.5000) (multiplicity 8)

Output
Fermi-level density of states: 4.3 states/eV/f.u.



<x>
This record from the Alexandria database describes an optimized crystal structure of PmNi2Ge4. The functional is PBE-GGA.

a b c (Å): 17.6918 4.1005 6.6118
angles (deg): 90.00 90.00 90.00
Space group Pnma (No. 62)
Symmetry-distinct sites (fractional):
Pm (0.1400, 0.2500, 0.0289) (multiplicity 4)
Ni (0.0337, 0.7500, 0.7496) (multiplicity 4)
Ni (0.2078, 0.2500, 0.5005) (multiplicity 4)
Ge (0.0248, 0.7500, 0.1375) (multiplicity 4)
Ge (0.0658, 0.2500, 0.5191) (multiplicity 4)
Ge (0.1771, 0.7500, 0.7059) (multiplicity 4)
Ge (0.2050, 0.7500, 0.3030) (multiplicity 4)

Output
Fermi-level density of states: 2.9 states/eV/f.u.



Which of them is the least stable? Correct choice: <w>.



<w>
This record from the Alexandria database describes an optimized crystal structure of PmNi2Ge3. The functional is PBE-GGA.

a b c (Å): 4.1314 4.1314 24.3011
angles (deg): 90.00 90.00 90.00
Space group I4/mmm (No. 139)
Symmetry-distinct sites (fractional):
Pm (0.0000, 0.0000, 0.1528) (multiplicity 4)
Ni (0.0000, 0.0000, 0.4004) (multiplicity 4)
Ni (0.0000, 0.5000, 0.2500) (multiplicity 4)
Ge (0.0000, 0.0000, 0.3016) (multiplicity 4)
Ge (0.0000, 0.5000, 0.0516) (multiplicity 8)

Output
Fermi-level density of states: 3.3 states/eV/f.u.



<x>
This record from the Alexandria database describes an optimized crystal structure of PmNi2Ge3. The functional is PBE-GGA.

a b c (Å): 7.8389 9.4380 5.8818
angles (deg): 90.00 90.00 90.00
Space group Cmcm (No. 63)
Symmetry-distinct sites (fractional):
Pm (0.0000, 0.1985, 0.2500) (multiplicity 4)
Ni (0.1650, 0.5000, 0.0000) (multiplicity 8)
Ge (0.0000, 0.3608, 0.7500) (multiplicity 4)
Ge (0.1589, 0.1149, 0.7500) (multiplicity 8)

Output
Fermi-level density of states: 5.0 states/eV/f.u.



Which of them is the least stable? Correct choice: <x>.